! MgNpIn, optimized geometry, DFT PBE-GGA; values from VASP
&SYSTEM
  ibrav = 0, nat = 6, ntyp = 3
/
ATOMIC_SPECIES
Mg 24.30 Mg.upf
Np 237.00 Np.upf
In 114.82 In.upf
CELL_PARAMETERS angstrom
3.624 0.000 0.000
0.000 3.624 0.000
0.000 0.000 10.337
ATOMIC_POSITIONS crystal
Mg 0.250 0.250 0.085
Mg 0.750 0.750 0.915
Np 0.250 0.750 0.500
Np 0.750 0.250 0.500
In 0.250 0.250 0.767
In 0.750 0.750 0.233
! - energy relative to the elements (eV/atom) = 0.25
! - symmetry = P4/nmm

! SbOs2, optimized geometry, DFT PBE-GGA; values from VASP
&SYSTEM
  ibrav = 0, nat = 6, ntyp = 2
/
ATOMIC_SPECIES
Sb 121.76 Sb.upf
Os 190.23 Os.upf
CELL_PARAMETERS angstrom
-2.596 2.596 4.081
2.596 -2.596 4.081
2.596 2.596 -4.081
ATOMIC_POSITIONS crystal
Sb 0.250 0.250 0.000
Sb 0.750 0.750 0.000
Os 0.174 0.674 0.847
Os 0.326 0.174 0.500
Os 0.674 0.826 0.500
Os 0.826 0.326 0.153
! - raw total energy (eV/atom) = -8.2039
! - symmetry = I4/mcm